(1)
Computed, not measured: a crystal of K3P2AuSe8 relaxed with PBEsol at the SCAN level of DFT.

abc: 6.9903 12.3174 18.7071
angles: 90.00 96.56 90.00
Space group Cc (No. 9)
Symmetry-distinct sites (fractional):
K: 0.0000 0.0755 0.0000 (multiplicity 4)
K: 0.1073 0.2792 0.7927 (multiplicity 4)
K: 0.1355 0.3954 0.1458 (multiplicity 4)
P: 0.0454 0.0577 0.2696 (multiplicity 4)
P: 0.4822 0.2747 0.0167 (multiplicity 4)
Au: 0.4278 0.0549 0.8901 (multiplicity 4)
Se: 0.0205 0.4075 0.5158 (multiplicity 4)
Se: 0.0961 0.2169 0.3329 (multiplicity 4)
Se: 0.1030 0.1519 0.6176 (multiplicity 4)
Se: 0.1908 0.3235 0.9763 (multiplicity 4)
Se: 0.2125 0.1572 0.4503 (multiplicity 4)
Se: 0.3427 0.0120 0.7645 (multiplicity 4)
Se: 0.3517 0.4472 0.3160 (multiplicity 4)
Se: 0.4179 0.3552 0.6745 (multiplicity 4)

Calculated values
The calculation puts the total energy at -20.353 eV per atom. The raw formation energy is -9.4 eV per formula unit. The calculation puts the volume at 400 Å³/f.u.



(2)
Computed, not measured: a crystal of KPbAu2 relaxed with PBEsol at the SCAN level of DFT.

abc: 4.7274 4.7274 17.7613
angles: 90.00 90.00 120.00
Space group R3m (No. 160, hexagonal axes)
Symmetry-distinct sites (fractional):
K: 0.0000 0.0000 0.0000 (multiplicity 3)
Pb: 0.0000 0.0000 0.1967 (multiplicity 3)
Au: 0.0000 0.0000 0.4664 (multiplicity 3)
Au: 0.0000 0.0000 0.7992 (multiplicity 3)

Calculated values
For the energy of formation from the pure elements, the calculation gives -0.274 eV per atom. The calculation puts the total energy at -55.880 eV per atom. The calculation puts the volume at 115 Å³/f.u.



(3)
Computed, not measured: a crystal of KPbAu2 relaxed with PBEsol at the SCAN level of DFT.

abc: 8.4630 4.8780 6.3615
angles: 90.00 116.36 90.00
Space group C2/m (No. 12)
Symmetry-distinct sites (fractional):
K: 0.0000 0.0000 0.0000 (multiplicity 2)
Pb: 0.0000 0.5000 0.5000 (multiplicity 2)
Au: 0.1922 0.0000 0.5763 (multiplicity 4)

Calculated values
For the energy of formation from the pure elements, the calculation gives -0.215 eV per atom. The calculation puts the total energy at -55.821 eV per atom. The calculation puts the volume at 118 Å³/f.u.



(4)
Computed, not measured: a crystal of K3PbAu5 relaxed with PBEsol at the SCAN level of DFT.

abc: 5.6621 19.4759 8.3516
angles: 90.00 90.00 90.00
Space group Imma (No. 74)
Symmetry-distinct sites (fractional):
K: 0.0000 0.0849 0.1208 (multiplicity 8)
K: 0.0000 0.2500 0.8748 (multiplicity 4)
Pb: 0.0000 0.2500 0.3319 (multiplicity 4)
Au: 0.0000 0.0000 0.5000 (multiplicity 4)
Au: 0.0000 0.1431 0.5381 (multiplicity 8)
Au: 0.2500 0.0645 0.7500 (multiplicity 8)

Calculated values
For the energy of formation from the pure elements, the calculation gives -0.431 eV per atom. The calculation puts the total energy at -50.048 eV per atom. The calculation puts the volume at 230 Å³/f.u.



(5)
Computed, not measured: a crystal of KPbAu relaxed with PBEsol at the SCAN level of DFT.

abc: 4.9982 4.9982 3.8468
angles: 90.00 90.00 120.00
Space group P-6m2 (No. 187)
Symmetry-distinct sites (fractional):
K: 0.0000 0.0000 0.0000 (multiplicity 1)
Pb: 0.3333 0.6667 0.5000 (multiplicity 1)
Au: 0.6667 0.3333 0.5000 (multiplicity 1)

Calculated values
For the energy of formation from the pure elements, the calculation gives -0.290 eV per atom. The calculation puts the total energy at -51.379 eV per atom. The calculation puts the volume at 83 Å³/f.u.



(6)
Computed, not measured: a crystal of K2PbAu2 relaxed with PBEsol at the SCAN level of DFT.

abc: 7.4886 7.4886 5.0956
angles: 90.00 90.00 90.00
Space group P4/mbm (No. 127)
Symmetry-distinct sites (fractional):
K: 0.1709 0.3291 0.0000 (multiplicity 4)
Pb: 0.0000 0.0000 0.5000 (multiplicity 2)
Au: 0.1308 0.6308 0.5000 (multiplicity 4)

Calculated values
For the energy of formation from the pure elements, the calculation gives -0.315 eV per atom. The calculation puts the total energy at -46.466 eV per atom. The calculation puts the volume at 143 Å³/f.u.



(7)
Computed, not measured: a crystal of KPb2Au2 relaxed with PBEsol at the SCAN level of DFT.

abc: 4.9940 4.9940 11.4432
angles: 90.00 90.00 90.00
Space group I4/mmm (No. 139)
Symmetry-distinct sites (fractional):
K: 0.0000 0.0000 0.0000 (multiplicity 2)
Pb: 0.0000 0.0000 0.3623 (multiplicity 4)
Au: 0.0000 0.5000 0.2500 (multiplicity 4)

Calculated values
For the energy of formation from the pure elements, the calculation gives -0.245 eV per atom. The calculation puts the total energy at -59.886 eV per atom. The calculation puts the volume at 143 Å³/f.u.



(8)
Computed, not measured: a crystal of KPbAu relaxed with PBEsol at the SCAN level of DFT.

abc: 3.8316 3.8316 12.1019
angles: 90.00 90.00 90.00
Space group I4mm (No. 107)
Symmetry-distinct sites (fractional):
K: 0.0000 0.0000 0.0000 (multiplicity 2)
Pb: 0.0000 0.0000 0.2842 (multiplicity 2)
Au: 0.0000 0.0000 0.7024 (multiplicity 2)

Calculated values
For the energy of formation from the pure elements, the calculation gives -0.264 eV per atom. The calculation puts the total energy at -51.352 eV per atom. The calculation puts the volume at 89 Å³/f.u.